A plane-wave DFT calculation with PBE was carried out for Nd6AgPd2 after structural relaxation.

CIF file:
```
data_Nd6AgPd2
_symmetry_space_group_name_H-M 'I m m m'
_symmetry_Int_Tables_number 71
_symmetry_space_group_name_Hall '-I 2 2'
_cell_length_a 9.7172
_cell_length_b 10.0934
_cell_length_c 10.6081
_cell_angle_alpha 90.00
_cell_angle_beta 90.00
_cell_angle_gamma 90.00
loop_
_atom_site_label
_atom_site_fract_x
_atom_site_fract_y
_atom_site_fract_z
_atom_site_occupancy
Nd1 0.0000 0.1919 0.2376 1
Nd2 0.2000 0.5000 0.1723 1
Nd3 0.2158 0.3217 0.5000 1
Ag1 0.0000 0.0000 0.0000 1
Ag2 0.0000 0.0000 0.5000 1
Pd1 0.0000 0.3470 0.0000 1
Pd2 0.0000 0.5000 0.3695 1
```

***

A plane-wave DFT calculation with PBE was carried out for Ho3TmN4 after structural relaxation.

CIF file:
```
data_Ho3TmN4
_symmetry_space_group_name_H-M 'P 1 2/c 1'
_symmetry_Int_Tables_number 13
_cell_length_a 5.9543
_cell_length_b 6.8785
_cell_length_c 5.9544
_cell_angle_alpha 90.00
_cell_angle_beta 109.46
_cell_angle_gamma 90.00
loop_
_symmetry_equiv_pos_as_xyz
'x,y,z'
'-x,-y,-z'
'-x,y,-z+1/2'
'x,-y,z+1/2'
loop_
_atom_site_label
_atom_site_fract_x
_atom_site_fract_y
_atom_site_fract_z
_atom_site_occupancy
Ho1 0.0000 0.1255 0.2500 1
Ho2 0.0000 0.3754 0.7500 1
Ho3 0.5000 0.1255 0.7500 1
Tm1 0.5000 0.3755 0.2500 1
N1 0.2507 0.1262 0.0013 1
N2 0.2522 0.3762 0.4997 1
```

energy relative to the elements, uncorrected = -1765 meV per atom

***

A plane-wave DFT calculation with PBE was carried out for TaSbHRu2 after structural relaxation.

CIF file:
```
data_TaSbHRu2
_symmetry_space_group_name_H-M 'P 4/m m m'
_symmetry_Int_Tables_number 123
_symmetry_space_group_name_Hall '-P 4 2'
_cell_length_a 4.1342
_cell_length_b 4.1342
_cell_length_c 3.9859
_cell_angle_alpha 90.00
_cell_angle_beta 90.00
_cell_angle_gamma 90.00
loop_
_atom_site_label
_atom_site_fract_x
_atom_site_fract_y
_atom_site_fract_z
_atom_site_occupancy
Ta1 0.0000 0.0000 0.0000 1
Sb1 0.5000 0.5000 0.0000 1
H1 0.0000 0.0000 0.5000 1
Ru1 0.0000 0.5000 0.5000 1
```

***

A plane-wave DFT calculation with PBE was carried out for InGaCuO4 after structural relaxation.

CIF file:
```
data_InGaCuO4
_symmetry_space_group_name_H-M 'R 3 m'
_symmetry_Int_Tables_number 160
_symmetry_space_group_name_Hall 'R 3 -2"'
_cell_length_a 3.4056
_cell_length_b 3.4056
_cell_length_c 25.1377
_cell_angle_alpha 90.00
_cell_angle_beta 90.00
_cell_angle_gamma 120.00
loop_
_atom_site_label
_atom_site_fract_x
_atom_site_fract_y
_atom_site_fract_z
_atom_site_occupancy
In1 0.0000 0.0000 0.0000 1
Ga1 0.0000 0.0000 0.7880 1
Cu1 0.0000 0.0000 0.2143 1
O1 0.0000 0.0000 0.1259 1
O2 0.0000 0.0000 0.2939 1
O3 0.0000 0.0000 0.7113 1
O4 0.0000 0.0000 0.8667 1
```

ΔE to the lowest computed polymorph = 0.0000 eV/atom
energy relative to the elements, uncorrected = -1320 meV per atom

***

A plane-wave DFT calculation with PBE was carried out for YAgSb2 after structural relaxation.

CIF file:
```
data_YAgSb2
_symmetry_space_group_name_H-M 'R 3 m'
_symmetry_Int_Tables_number 160
_symmetry_space_group_name_Hall 'R 3 -2"'
_cell_length_a 4.6853
_cell_length_b 4.6853
_cell_length_c 17.9191
_cell_angle_alpha 90.00
_cell_angle_beta 90.00
_cell_angle_gamma 120.00
loop_
_atom_site_label
_atom_site_fract_x
_atom_site_fract_y
_atom_site_fract_z
_atom_site_occupancy
Y1 0.0000 0.0000 0.0000 1
Ag1 0.0000 0.0000 0.1936 1
Sb1 0.0000 0.0000 0.5818 1
Sb2 0.0000 0.0000 0.7524 1
```

energy relative to the elements, uncorrected = -380 meV per atom

***

A plane-wave DFT calculation with PBE was carried out for LaSm3Y2 after structural relaxation.

CIF file:
```
data_LaSm3Y2
_symmetry_space_group_name_H-M 'C m c m'
_symmetry_Int_Tables_number 63
_symmetry_space_group_name_Hall '-C 2c 2'
_cell_length_a 10.9048
_cell_length_b 10.9797
_cell_length_c 6.7552
_cell_angle_alpha 90.00
_cell_angle_beta 90.00
_cell_angle_gamma 90.00
loop_
_atom_site_label
_atom_site_fract_x
_atom_site_fract_y
_atom_site_fract_z
_atom_site_occupancy
La1 0.0000 0.1042 0.2500 1
Sm1 0.0000 0.4028 0.2500 1
Sm2 0.2477 0.5000 0.0000 1
Y1 0.1590 0.2509 0.7500 1
```

ΔE to the lowest computed polymorph = 0.1717 eV/atom

***

A plane-wave DFT calculation with PBE was carried out for Pm3Pr5Ho2 after structural relaxation.

CIF file:
```
data_Pm3Pr5Ho2
_symmetry_space_group_name_H-M 'C 1 2/c 1'
_symmetry_Int_Tables_number 15
_cell_length_a 10.9202
_cell_length_b 14.9775
_cell_length_c 10.1681
_cell_angle_alpha 90.00
_cell_angle_beta 122.43
_cell_angle_gamma 90.00
loop_
_symmetry_equiv_pos_as_xyz
'x,y,z'
'-x,-y,-z'
'-x,y,-z+1/2'
'x,-y,z+1/2'
'x+1/2,y+1/2,z'
'-x+1/2,-y+1/2,-z'
'-x+1/2,y+1/2,-z+1/2'
'x+1/2,-y+1/2,z+1/2'
loop_
_atom_site_label
_atom_site_fract_x
_atom_site_fract_y
_atom_site_fract_z
_atom_site_occupancy
Pm1 0.0000 0.0214 0.2500 1
Pm2 0.1523 0.3747 0.5576 1
Pr1 0.0000 0.2277 0.2500 1
Pr2 0.0000 0.2695 0.7500 1
Pr3 0.0000 0.4790 0.7500 1
Pr4 0.2440 0.1231 0.7422 1
Ho1 0.1550 0.1234 0.0571 1
```

ΔE to the lowest computed polymorph = 0.0000 eV/atom

***

A plane-wave DFT calculation with PBE was carried out for Sm6MgGe2S14 after structural relaxation.

CIF file:
```
data_Sm6MgGe2S14
_symmetry_space_group_name_H-M 'P 3'
_symmetry_Int_Tables_number 143
_cell_length_a 10.1207
_cell_length_b 10.1207
_cell_length_c 5.7690
_cell_angle_alpha 90.00
_cell_angle_beta 90.00
_cell_angle_gamma 120.00
loop_
_symmetry_equiv_pos_as_xyz
'x,y,z'
'-y,x-y,z'
'-x+y,-x,z'
loop_
_atom_site_label
_atom_site_fract_x
_atom_site_fract_y
_atom_site_fract_z
_atom_site_occupancy
Sm1 0.0232 0.4612 0.0000 1
Sm2 0.3092 0.2058 0.4946 1
Mg1 0.6667 0.3333 0.7251 1
Ge1 0.0000 0.0000 0.0764 1
Ge2 0.3333 0.6667 0.5846 1
S1 0.0000 0.0000 0.6965 1
S2 0.0817 0.2307 0.2353 1
S3 0.1847 0.7492 0.7416 1
S4 0.3333 0.6667 0.2040 1
S5 0.4177 0.2420 0.9638 1
S6 0.5063 0.0840 0.4846 1
```

energy relative to the elements, uncorrected = -1586 meV per atom

***

A plane-wave DFT calculation with PBE was carried out for TeOsBr2 after structural relaxation.

CIF file:
```
data_TeOsBr2
_symmetry_space_group_name_H-M 'P m m m'
_symmetry_Int_Tables_number 47
_cell_length_a 3.2043
_cell_length_b 4.7952
_cell_length_c 5.5650
_cell_angle_alpha 90.00
_cell_angle_beta 90.00
_cell_angle_gamma 90.00
loop_
_symmetry_equiv_pos_as_xyz
'x,y,z'
'-x,-y,-z'
'-x,-y,z'
'x,y,-z'
'x,-y,-z'
'-x,y,z'
'-x,y,-z'
'x,-y,z'
loop_
_atom_site_label
_atom_site_fract_x
_atom_site_fract_y
_atom_site_fract_z
_atom_site_occupancy
Te1 0.0000 0.0000 0.0000 1
Os1 0.5000 0.0000 0.5000 1
Br1 0.0000 0.5000 0.5000 1
Br2 0.5000 0.5000 0.0000 1
```

ΔE to the lowest computed polymorph = 1.0776 eV/atom
energy relative to the elements, uncorrected = 1145 meV per atom

***

A plane-wave DFT calculation with PBE was carried out for K5InBr7 after structural relaxation.

CIF file:
```
data_K5InBr7
_symmetry_space_group_name_H-M 'A m m 2'
_symmetry_Int_Tables_number 38
_cell_length_a 27.6248
_cell_length_b 4.4529
_cell_length_c 15.7847
_cell_angle_alpha 90.00
_cell_angle_beta 90.00
_cell_angle_gamma 90.00
loop_
_symmetry_equiv_pos_as_xyz
'x,y,z'
'-x,-y,z'
'-x,y,z'
'x,-y,z'
'x,y+1/2,z+1/2'
'-x,-y+1/2,z+1/2'
'-x,y+1/2,z+1/2'
'x,-y+1/2,z+1/2'
loop_
_atom_site_label
_atom_site_fract_x
_atom_site_fract_y
_atom_site_fract_z
_atom_site_occupancy
K1 0.1004 0.0000 0.0000 1
K2 0.1771 0.0000 0.2619 1
K3 0.2493 0.0000 0.5417 1
K4 0.3221 0.0000 0.8212 1
K5 0.3990 0.0000 0.0828 1
In1 0.0000 0.0000 0.7643 1
In2 0.5000 0.0000 0.3184 1
Br1 0.0000 0.0000 0.1398 1
Br2 0.0643 0.0000 0.3443 1
Br3 0.1404 0.0000 0.6271 1
Br4 0.2091 0.0000 0.9039 1
Br5 0.2899 0.0000 0.1793 1
Br6 0.3581 0.0000 0.4565 1
Br7 0.4354 0.0000 0.7388 1
Br8 0.5000 0.0000 0.9431 1
```

energy relative to the elements, uncorrected = -1443 meV per atom

***

A plane-wave DFT calculation with PBE was carried out for Pm3PtO7 after structural relaxation.

CIF file:
```
data_Pm3PtO7
_symmetry_space_group_name_H-M 'C m c m'
_symmetry_Int_Tables_number 63
_symmetry_space_group_name_Hall '-C 2c 2'
_cell_length_a 10.8659
_cell_length_b 7.5248
_cell_length_c 7.5561
_cell_angle_alpha 90.00
_cell_angle_beta 90.00
_cell_angle_gamma 90.00
loop_
_atom_site_label
_atom_site_fract_x
_atom_site_fract_y
_atom_site_fract_z
_atom_site_occupancy
Pm1 0.0000 0.0000 0.0000 1
Pm2 0.2232 0.2989 0.2500 1
Pt1 0.0000 0.5000 0.0000 1
O1 0.0000 0.4021 0.2500 1
O2 0.1272 0.3091 0.5375 1
O3 0.1328 0.0228 0.2500 1
```

energy relative to the elements, uncorrected = -2496 meV per atom

***

Number 1: D(E_F) 1.06 states/eV/atom, VASP energy -5.0460 eV/atom. Number 2: D(E_F) 0.04 states/eV/atom, VASP energy -8.2028 eV/atom. Number 3: D(E_F) 0.76 states/eV/atom, VASP energy -7.5365 eV/atom. Number 4: D(E_F) 0.39 states/eV/atom, VASP energy -5.5624 eV/atom. Number 5: D(E_F) 0.15 states/eV/atom, VASP energy -4.7704 eV/atom. Number 6: D(E_F) 1.14 states/eV/atom, VASP energy -5.1485 eV/atom. Number 7: D(E_F) 1.64 states/eV/atom, VASP energy -4.5637 eV/atom. Number 8: D(E_F) 0.00 states/eV/atom, VASP energy -5.8002 eV/atom. Number 9: D(E_F) 1.23 states/eV/atom, VASP energy -3.2845 eV/atom. Number 10: D(E_F) 0.22 states/eV/atom, VASP energy -2.9767 eV/atom. Number 11: D(E_F) 0.68 states/eV/atom, VASP energy -7.4965 eV/atom.